No. 1
Below is a relaxed AsHPdBr2 crystal, with properties calculated at the GGA-PBE level.

```
AsHPdBr2
1.0
5.0847 0.0000 0.0000
0.0000 5.0847 0.0000
0.0000 0.0000 3.5096
Br Pd H As
2 1 1 1
Direct
0.0000 0.5000 0.0000 Br
0.5000 0.0000 0.0000 Br
0.5000 0.5000 0.5000 Pd
0.0000 0.0000 0.0000 H
0.0000 0.0000 0.5000 As
```

Values from the calculation:
V, Å³/f.u.: 90.74
DOS at the Fermi energy, states/eV/atom: 0.762
Final energy, eV/atom: -2.789
ΔE to the lowest computed polymorph, eV per formula unit: 0.00



No. 2
Below is a relaxed Sr3Li2Pd3 crystal, with properties calculated at the GGA-PBE level.

```
Sr3Li2Pd3
1.0
-2.1659 3.7475 0.5884
-3.4154 -4.8724 2.2453
6.6088 1.6718 13.6807
Sr Pd Li
6 6 4
Direct
0.0755 0.1511 0.6110 Sr
0.9245 0.8489 0.1110 Sr
0.9245 0.8489 0.3890 Sr
0.0755 0.1511 0.8890 Sr
0.6463 0.2926 0.2500 Sr
0.3537 0.7074 0.7500 Sr
0.3412 0.6823 0.2500 Pd
0.3970 0.7940 0.5428 Pd
0.6030 0.2060 0.4572 Pd
0.6588 0.3177 0.7500 Pd
0.3970 0.7940 0.9572 Pd
0.6030 0.2060 0.0428 Pd
0.7762 0.5524 0.5752 Li
0.2238 0.4476 0.0752 Li
0.2238 0.4476 0.4248 Li
0.7762 0.5524 0.9248 Li
```

Values from the calculation:
V, Å³/f.u.: 199.40
DOS at the Fermi energy, states/eV/atom: 0.458
Final energy, eV/atom: -3.534
ΔE to the lowest computed polymorph, eV per formula unit: 0.00
Formation energy from the elements, eV/atom: -0.477



No. 3
Below is a relaxed DyThReNi crystal, with properties calculated at the GGA-PBE level.

```
DyThReNi
1.0
-3.6084 3.2079 0.9373
-4.3228 -1.5948 1.7205
-1.2992 0.9511 4.6473
Th Ni Re Dy
1 1 1 1
Direct
0.2500 0.2500 0.2500 Th
0.0000 0.0000 0.0000 Ni
0.5000 0.5000 0.5000 Re
0.7500 0.7500 0.7500 Dy
```

Values from the calculation:
V, Å³/f.u.: 84.13
DOS at the Fermi energy, states/eV/atom: 0.720
Final energy, eV/atom: -7.651
Formation energy from the elements, eV/atom: -0.088



No. 4
Below is a relaxed RbPH crystal, with properties calculated at the GGA-PBE level.

```
RbPH
1.0
4.2745 0.0000 0.0000
-0.1118 5.7378 0.0000
-1.9278 -1.7544 6.0863
P H Rb
2 2 2
Direct
0.5769 0.6574 0.1549 P
0.4231 0.3426 0.8451 P
0.7536 0.3207 0.8333 H
0.2464 0.6793 0.1667 H
0.8850 0.7822 0.7337 Rb
0.1150 0.2178 0.2663 Rb
```

Values from the calculation:
V, Å³/f.u.: 74.64
Final energy, eV/atom: -3.528
ΔE to the lowest computed polymorph, eV per formula unit: 0.11



No. 5
Below is a relaxed TbCuBi2Se5 crystal, with properties calculated at the GGA-PBE level.

```
TbCuBi2Se5
1.0
4.1139 0.0000 0.0000
-2.0569 9.7663 0.0000
0.0000 0.0000 12.9532
Se Cu Bi Tb
10 2 4 2
Direct
0.6874 0.3749 0.8643 Se
0.3126 0.6251 0.3643 Se
0.2977 0.5954 0.6737 Se
0.7023 0.4046 0.1737 Se
0.0490 0.0980 0.0517 Se
0.6539 0.3079 0.5318 Se
0.3461 0.6921 0.0318 Se
0.9510 0.9020 0.5517 Se
0.5131 0.0262 0.7924 Se
0.4869 0.9738 0.2924 Se
0.5759 0.1518 0.9569 Cu
0.4241 0.8482 0.4569 Cu
0.0819 0.1638 0.2584 Bi
0.8437 0.6874 0.1814 Bi
0.9181 0.8362 0.7584 Bi
0.1563 0.3126 0.6814 Bi
0.8034 0.6068 0.5134 Tb
0.1966 0.3932 0.0134 Tb
```

Values from the calculation:
V, Å³/f.u.: 260.21
Formation energy from raw total energies, meV per atom: -722
Final energy, eV/atom: -4.490



No. 6
Below is a relaxed Be2AlAs crystal, with properties calculated at the GGA-PBE level.

```
Be2AlAs
1.0
7.4239 0.0504 0.0299
6.8176 2.9389 0.0299
6.8176 1.4310 2.5672
As Be Al
1 2 1
Direct
0.7500 0.7500 0.7500 As
0.4969 0.4969 0.4969 Be
0.0031 0.0031 0.0031 Be
0.2500 0.2500 0.2500 Al
```

Values from the calculation:
V, Å³/f.u.: 54.52
DOS at the Fermi energy, states/eV/atom: 0.246
Final energy, eV/atom: -3.614
ΔE to the lowest computed polymorph, eV per formula unit: 0.51
Formation energy from the elements, eV/atom: 0.347



No. 7
Below is a relaxed ThGa3Rh4 crystal, with properties calculated at the GGA-PBE level.

```
ThGa3Rh4
1.0
-1.1607 2.5405 -3.2028
-2.3540 -1.5381 -3.1863
-8.2474 2.4215 2.0903
Rh Th Ga
4 1 3
Direct
0.8677 0.8677 0.3970 Rh
0.5998 0.5998 0.2007 Rh
0.4002 0.4002 0.7993 Rh
0.1323 0.1323 0.6030 Rh
0.0000 0.0000 0.0000 Th
0.2395 0.2395 0.2815 Ga
0.7605 0.7605 0.7185 Ga
0.5000 0.5000 0.5000 Ga
```

Values from the calculation:
V, Å³/f.u.: 132.92
DOS at the Fermi energy, states/eV/atom: 0.498
Final energy, eV/atom: -6.511
Formation energy from the elements, eV/atom: -0.773



No. 8
Below is a relaxed LaPm8Er3 crystal, with properties calculated at the GGA-PBE level.

```
LaPm8Er3
1.0
-3.1974 5.6770 -5.6540
-7.2821 -3.4299 3.1117
3.9914 0.3162 7.6252
Er Pm La
3 8 1
Direct
0.4988 0.7488 0.2459 Er
0.4986 0.2523 0.7495 Er
0.1693 0.4995 0.6701 Er
0.5000 0.8327 0.6679 Pm
0.1669 0.4193 0.2530 Pm
0.1673 0.9137 0.7478 Pm
0.8264 0.6623 0.1639 Pm
0.8332 0.1661 0.6671 Pm
0.8362 0.0879 0.2532 Pm
0.8353 0.5825 0.7481 Pm
0.4998 0.3356 0.1643 Pm
0.1682 0.9993 0.1691 La
```

Values from the calculation:
V, Å³/f.u.: 408.12
DOS at the Fermi energy, states/eV/atom: 1.769
Final energy, eV/atom: -4.691
Formation energy from the elements, eV/atom: 0.028



No. 9
Below is a relaxed Nd3SmPa2P6 crystal, with properties calculated at the GGA-PBE level.

```
Nd3SmPa2P6
1.0
-0.8273 3.1278 6.2777
3.1301 -6.3174 -0.4125
5.1662 4.0477 -2.6587
P Nd Pa Sm
6 3 2 1
Direct
0.4212 0.0788 0.2358 P
0.7364 0.7364 0.2359 P
0.5788 0.9212 0.7642 P
0.0788 0.4212 0.2358 P
0.2636 0.2636 0.7641 P
0.9212 0.5788 0.7642 P
0.8353 0.1647 0.5000 Nd
0.5000 0.5000 0.5000 Nd
0.1647 0.8353 0.5000 Nd
0.6669 0.3331 0.0000 Pa
0.3331 0.6669 0.0000 Pa
0.0000 0.0000 0.0000 Sm
```

Values from the calculation:
V, Å³/f.u.: 288.51
DOS at the Fermi energy, states/eV/atom: 0.709
Final energy, eV/atom: -7.357
Formation energy from the elements, eV/atom: -1.484



No. 10
Below is a relaxed HfTcSnOs2 crystal, with properties calculated at the GGA-PBE level.

```
HfTcSnOs2
1.0
4.7216 0.0000 0.0000
0.0000 4.8804 0.0000
0.0000 0.0000 4.7216
Hf Sn Os Tc
1 1 2 1
Direct
0.0000 0.5000 0.0000 Hf
0.5000 0.5000 0.5000 Sn
0.5000 0.0000 0.0000 Os
0.0000 0.0000 0.5000 Os
0.0000 0.0000 0.0000 Tc
```

Values from the calculation:
V, Å³/f.u.: 108.80
DOS at the Fermi energy, states/eV/atom: 0.718
Final energy, eV/atom: -8.093
Formation energy from the elements, eV/atom: 1.264



No. 11
Below is a relaxed PmGdRu crystal, with properties calculated at the GGA-PBE level.

```
PmGdRu
1.0
3.4534 0.0000 0.0000
0.0000 3.4534 0.0000
-1.7267 -1.7267 6.6802
Gd Ru Pm
1 1 1
Direct
0.2915 0.2915 0.5830 Gd
0.6686 0.6686 0.3373 Ru
0.0398 0.0398 0.0797 Pm
```

Values from the calculation:
V, Å³/f.u.: 79.67
DOS at the Fermi energy, states/eV/atom: 0.649
Final energy, eV/atom: -9.605
ΔE to the lowest computed polymorph, eV per formula unit: 0.00
Formation energy from the elements, eV/atom: -0.236



No. 12
Below is a relaxed NaCaTm2Te4 crystal, with properties calculated at the GGA-PBE level.

```
NaCaTm2Te4
1.0
-4.1804 -0.6198 -1.0680
-0.4948 -5.5174 5.1384
-1.8701 6.7592 3.3973
Te Na Ca Tm
4 1 1 2
Direct
0.0000 0.2459 0.7391 Te
0.5000 0.7452 0.7365 Te
0.5000 0.2548 0.2635 Te
0.0000 0.7541 0.2609 Te
0.0000 0.0000 0.0000 Na
0.5000 0.5000 0.0000 Ca
0.5000 0.0000 0.5000 Tm
0.0000 0.5000 0.5000 Tm
```

Values from the calculation:
V, Å³/f.u.: 243.05
DOS at the Fermi energy, states/eV/atom: 0.323
Formation energy from raw total energies, meV per atom: -1355
Final energy, eV/atom: -4.459



No. 13
Below is a relaxed Ac2Cu3Sb4Au crystal, with properties calculated at the GGA-PBE level.

```
Ac2Cu3Sb4Au
1.0
-2.8728 3.0913 -2.3486
-3.1971 -0.2264 3.6128
4.7027 7.9086 4.6573
Au Sb Cu Ac
1 4 3 2
Direct
0.5000 0.5000 0.5000 Au
0.5000 0.0000 0.6362 Sb
0.0000 0.5000 0.3638 Sb
0.0000 0.0000 0.0000 Sb
0.5000 0.5000 0.0000 Sb
0.0000 0.5000 0.1161 Cu
0.0000 0.0000 0.5000 Cu
0.5000 0.0000 0.8839 Cu
0.5000 0.0000 0.2563 Ac
0.0000 0.5000 0.7437 Ac
```

Values from the calculation:
V, Å³/f.u.: 240.54
DOS at the Fermi energy, states/eV/atom: 0.295
Formation energy from raw total energies, meV per atom: -530
Final energy, eV/atom: -4.557



No. 14
Below is a relaxed LiAcYSi crystal, with properties calculated at the GGA-PBE level.

```
LiAcYSi
1.0
-0.3090 -2.7474 -4.4707
-3.1532 -4.1955 -0.2940
-4.3733 0.1978 -2.9096
Y Si Ac Li
1 1 1 1
Direct
0.5000 0.5000 0.5000 Y
0.7500 0.7500 0.7500 Si
0.0000 0.0000 0.0000 Ac
0.2500 0.2500 0.2500 Li
```

Values from the calculation:
V, Å³/f.u.: 102.70
DOS at the Fermi energy, states/eV/atom: 0.655
Formation energy from raw total energies, meV per atom: -242
Final energy, eV/atom: -4.719



No. 15
Below is a relaxed FeCuMo4 crystal, with properties calculated at the GGA-PBE level.

```
FeCuMo4
1.0
0.0000 3.6373 3.6373
3.6373 0.0000 3.6373
3.6373 3.6373 0.0000
Cu Mo Fe
1 4 1
Direct
0.7500 0.7500 0.7500 Cu
0.3755 0.8734 0.3755 Mo
0.3755 0.3755 0.8734 Mo
0.8734 0.3755 0.3755 Mo
0.3755 0.3755 0.3755 Mo
0.0000 0.0000 0.0000 Fe
```

Values from the calculation:
V, Å³/f.u.: 96.24
DOS at the Fermi energy, states/eV/atom: 0.846
Final energy, eV/atom: -8.723
Formation energy from the elements, eV/atom: 0.591



No. 16
Below is a relaxed NiPb5 crystal, with properties calculated at the GGA-PBE level.

```
NiPb5
1.0
-0.7041 -1.2513 -6.0315
-0.4932 -4.5457 4.1873
-5.9121 1.0723 0.4677
Ni Pb
1 5
Direct
0.0000 0.0000 0.0000 Ni
0.3333 0.6667 0.0000 Pb
0.0000 0.5000 0.5000 Pb
0.6667 0.3333 0.0000 Pb
0.5000 0.5000 0.5000 Pb
0.5000 0.0000 0.5000 Pb
```

Values from the calculation:
V, Å³/f.u.: 200.63
DOS at the Fermi energy, states/eV/atom: 1.634
Final energy, eV/atom: -3.408
Formation energy from the elements, eV/atom: 0.646



No. 17
Below is a relaxed Ca4LaSm3Te8 crystal, with properties calculated at the GGA-PBE level.

```
Ca4LaSm3Te8
1.0
8.9021 0.0000 0.0000
0.0000 9.0533 0.1008
-4.4511 -4.4468 6.2994
Te Ca Sm La
8 4 3 1
Direct
0.7503 0.7510 0.5005 Te
0.7463 0.2458 0.4925 Te
0.2537 0.7542 0.5075 Te
0.7469 0.7543 0.0006 Te
0.2531 0.2457 0.9994 Te
0.2536 0.7543 0.0006 Te
0.7464 0.2457 0.9994 Te
0.2497 0.2490 0.4995 Te
0.5000 0.0000 0.0000 Ca
0.0000 0.0000 0.0000 Ca
0.5000 0.0000 0.5000 Ca
0.0000 0.0000 0.5000 Ca
0.0000 0.5000 0.5000 Sm
0.5000 0.5000 0.0000 Sm
0.5000 0.5000 0.5000 Sm
0.0000 0.5000 0.0000 La
```

Values from the calculation:
V, Å³/f.u.: 511.68
DOS at the Fermi energy, states/eV/atom: 0.404
Formation energy from raw total energies, meV per atom: -1519
Final energy, eV/atom: -4.783



No. 18
Below is a relaxed Ba3OsCl crystal, with properties calculated at the GGA-PBE level.

```
Ba3OsCl
1.0
6.0600 0.0000 0.0000
0.0000 6.0600 0.0000
0.0000 0.0000 6.0600
Ba Os Cl
3 1 1
Direct
0.0000 0.0000 0.5000 Ba
0.5000 0.0000 0.0000 Ba
0.0000 0.5000 0.0000 Ba
0.0000 0.0000 0.0000 Os
0.5000 0.5000 0.5000 Cl
```

Values from the calculation:
V, Å³/f.u.: 222.54
DOS at the Fermi energy, states/eV/atom: 1.169
Formation energy from raw total energies, meV per atom: -106
Final energy, eV/atom: -3.875
ΔE to the lowest computed polymorph, eV per formula unit: 0.00



No. 19
Below is a relaxed La4Te2AuSe crystal, with properties calculated at the GGA-PBE level.

```
La4Te2AuSe
1.0
4.3850 0.0000 0.0000
0.0000 7.8631 -0.2002
0.0000 2.7256 7.3061
Au Te La Se
1 2 4 1
Direct
0.5000 0.5000 0.0000 Au
0.0000 0.0000 0.0000 Te
0.5000 0.0000 0.5000 Te
0.0000 0.7308 0.7588 La
0.5000 0.2660 0.7396 La
0.5000 0.7340 0.2604 La
0.0000 0.2692 0.2412 La
0.0000 0.5000 0.5000 Se
```

Values from the calculation:
V, Å³/f.u.: 254.30
DOS at the Fermi energy, states/eV/atom: 0.850
Formation energy from raw total energies, meV per atom: -1480
Final energy, eV/atom: -5.575



No. 20
Below is a relaxed Sm2ErGe3Rh4 crystal, with properties calculated at the GGA-PBE level.

```
Sm2ErGe3Rh4
1.0
-3.6096 0.6226 -1.9796
-0.4563 -4.1127 -0.4615
-5.4330 -0.4913 9.7520
Sm Ge Rh Er
2 3 4 1
Direct
0.0000 0.5000 0.7709 Sm
0.5000 0.0000 0.2291 Sm
0.0000 0.0000 0.5000 Ge
0.5000 0.0000 0.8774 Ge
0.0000 0.5000 0.1226 Ge
0.0000 0.0000 0.0000 Rh
0.5000 0.0000 0.6575 Rh
0.5000 0.5000 0.0000 Rh
0.0000 0.5000 0.3425 Rh
0.5000 0.5000 0.5000 Er
```

Values from the calculation:
V, Å³/f.u.: 193.71
DOS at the Fermi energy, states/eV/atom: 0.611
Final energy, eV/atom: -6.618
Formation energy from the elements, eV/atom: -0.892